First-principles (GGA-PBE) data for an optimized crystal structure of Pu2SiHg, as listed in Alexandria.

Cell and atoms, written as POSCAR:
```
Pu2SiHg
1.0
-3.8532 -0.4693 -1.7109
-1.7935 -0.7671 4.2495
-0.7796 4.5833 0.4984
Si Hg Pu
1 1 2
direct
0.5000 0.0000 0.0000 Si
0.5000 0.5000 0.5000 Hg
0.0000 0.0000 0.5000 Pu
0.0000 0.5000 0.0000 Pu
```

Its space-group type is P4/mmm. As for the calculated total energy: -35.0 eV per formula unit.


First-principles (GGA-PBE) data for an optimized crystal structure of Pu2SiHg, as listed in Alexandria.

Cell and atoms, written as POSCAR:
```
Pu2SiHg
1.0
3.4831 0.0000 0.0000
0.0000 3.4831 0.0000
0.0000 0.0000 7.7559
Si Hg Pu
1 1 2
direct
0.5000 0.5000 0.0000 Si
0.5000 0.5000 0.5000 Hg
0.0000 0.0000 0.7879 Pu
0.0000 0.0000 0.2121 Pu
```

Its space-group type is P4/mmm. As for the calculated total energy: -35.4 eV per formula unit.


First-principles (GGA-PBE) data for an optimized crystal structure of PuSiHg, as listed in Alexandria.

Cell and atoms, written as POSCAR:
```
PuSiHg
1.0
-4.4392 1.2314 0.8418
-2.8798 -2.9736 2.1901
-1.3928 0.8885 4.3820
Si Hg Pu
1 1 1
direct
0.2500 0.2500 0.2500 Si
0.5000 0.5000 0.5000 Hg
0.0000 0.0000 0.0000 Pu
```

Its space-group type is F-43m. As for the calculated total energy: -20.2 eV per formula unit.


First-principles (GGA-PBE) data for an optimized crystal structure of Pu2SiHg, as listed in Alexandria.

Cell and atoms, written as POSCAR:
```
Pu2SiHg
1.0
3.4642 0.0000 0.0000
1.7321 3.0001 0.0000
1.7321 1.0000 9.4733
Si Hg Pu
1 1 2
direct
0.0000 0.0000 0.0000 Si
0.5000 0.5000 0.5000 Hg
0.2606 0.2606 0.2180 Pu
0.7393 0.7393 0.7820 Pu
```

Its space-group type is R-3m. As for the calculated total energy: -34.5 eV per formula unit.


First-principles (GGA-PBE) data for an optimized crystal structure of Pu2Si2Hg, as listed in Alexandria.

Cell and atoms, written as POSCAR:
```
Pu2Si2Hg
1.0
-2.2792 1.0551 2.5329
1.6896 -2.4932 2.5590
4.1519 6.8513 0.8820
Pu Si Hg
2 2 1
direct
0.5000 0.6320 0.2639 Pu
0.5000 0.3680 0.7361 Pu
0.0000 0.2092 0.4185 Si
0.0000 0.7908 0.5815 Si
0.0000 0.0000 0.0000 Hg
```

Its space-group type is Cmmm. As for the calculated total energy: -41.4 eV per formula unit.


First-principles (GGA-PBE) data for an optimized crystal structure of PuSiHg, as listed in Alexandria.

Cell and atoms, written as POSCAR:
```
PuSiHg
1.0
-0.1975 0.4980 -3.2214
-3.1709 -0.7771 0.0743
0.2555 6.0654 2.5771
Si Hg Pu
1 1 1
direct
0.2847 0.2847 0.5694 Si
0.6292 0.6292 0.2585 Hg
0.9361 0.9361 0.8722 Pu
```

Its space-group type is I4mm. As for the calculated total energy: -20.0 eV per formula unit.